# 1
Compound: YGa3NiGe
Source: Alexandria via LeMat-Bulk
Functional: GGA-PBEsol
Structure: optimized geometry

Cell lengths 4.148, 4.148, 12.204 Å; angles 99.79, 99.79, 90.00 degrees
Atoms (fractional coordinates):
Y (0.154, 0.154, 0.307)
Y (0.856, 0.856, 0.711)
Ga (0.260, 0.760, 0.520)
Ga (0.760, 0.260, 0.520)
Ga (0.054, 0.554, 0.107)
Ga (0.554, 0.054, 0.107)
Ga (0.945, 0.445, 0.889)
Ga (0.445, 0.945, 0.889)
Ni (0.999, 0.999, 0.999)
Ni (0.717, 0.717, 0.435)
Ge (0.351, 0.351, 0.703)
Ge (0.623, 0.623, 0.246)

Summary:
The calculation puts the magnetic moment at 0.00 μB per formula unit. The space group is I4mm (107). The crystal system is tetragonal. The formation energy comes out at -13.14 kcal/mol of atoms.



# 2
Compound: CdCoBi2B
Source: Alexandria via LeMat-Bulk
Functional: GGA-PBEsol
Structure: optimized geometry

Cell lengths 3.815, 5.121, 5.121 Å; angles 90.00, 90.00, 90.00 degrees
Atoms (fractional coordinates):
B (0.000, 0.000, 0.000)
Co (0.500, 0.000, 0.000)
Bi (0.000, 0.000, 0.500)
Bi (0.000, 0.500, 0.000)
Cd (0.500, 0.500, 0.500)

Summary:
The calculation puts the magnetic moment at 0.04 μB per formula unit. The space group is P4/mmm (123). The crystal system is tetragonal. The formation energy comes out at 13.28 kcal/mol of atoms.



# 3
Compound: BaTiGe3O9
Source: Alexandria via LeMat-Bulk
Functional: GGA-PBEsol
Structure: optimized geometry

Cell lengths 6.812, 6.812, 10.219 Å; angles 90.00, 90.00, 120.00 degrees
Atoms (fractional coordinates):
Ba (0.000, 0.000, 0.000)
Ba (0.000, 0.000, 0.500)
Ti (0.333, 0.667, 0.000)
Ti (0.333, 0.667, 0.500)
Ge (0.588, 0.032, 0.750)
Ge (0.444, 0.412, 0.750)
Ge (0.588, 0.556, 0.250)
Ge (0.968, 0.556, 0.750)
Ge (0.444, 0.032, 0.250)
Ge (0.968, 0.412, 0.250)
O (0.110, 0.692, 0.893)
O (0.582, 0.890, 0.893)
O (0.110, 0.692, 0.607)
O (0.110, 0.418, 0.393)
O (0.308, 0.418, 0.893)
O (0.582, 0.890, 0.607)
O (0.582, 0.692, 0.393)
O (0.110, 0.418, 0.107)
O (0.308, 0.418, 0.607)
O (0.582, 0.692, 0.107)
O (0.308, 0.890, 0.393)
O (0.308, 0.890, 0.107)
O (0.873, 0.263, 0.750)
O (0.390, 0.127, 0.750)
O (0.873, 0.610, 0.250)
O (0.737, 0.610, 0.750)
O (0.390, 0.263, 0.250)
O (0.737, 0.127, 0.250)

Summary:
The calculation puts the magnetic moment at 0.00 μB per formula unit. The space group is P-6c2 (188). The crystal system is hexagonal. The raw formation energy comes out at -31.0 eV per formula unit.



# 4
Compound: BaY2Te
Source: Alexandria via LeMat-Bulk
Functional: GGA-PBEsol
Structure: optimized geometry

Cell lengths 4.078, 5.178, 6.710 Å; angles 90.00, 107.69, 90.00 degrees
Atoms (fractional coordinates):
Ba (0.906, 0.000, 0.812)
Te (0.310, 0.500, 0.619)
Y (0.182, 0.000, 0.364)
Y (0.611, 0.500, 0.222)

Summary:
The calculation puts the magnetic moment at 0.00 μB per formula unit. The space group is Amm2 (38). The crystal system is orthorhombic. The raw formation energy comes out at -2.1 eV per formula unit.



# 5
Compound: Ba2SeBr
Source: Alexandria via LeMat-Bulk
Functional: GGA-PBEsol
Structure: optimized geometry

Cell lengths 4.631, 4.631, 7.990 Å; angles 73.16, 73.16, 60.00 degrees
Atoms (fractional coordinates):
Se (0.500, 0.500, 0.500)
Ba (0.756, 0.756, 0.733)
Ba (0.244, 0.244, 0.267)
Br (0.000, 0.000, 0.000)

Summary:
The calculation puts the magnetic moment at 0.00 μB per formula unit. The space group is R-3m (166). The crystal system is trigonal. The calculation puts the energy above the most stable polymorph in this dataset at 0 kJ/mol of formula units. The raw formation energy comes out at -7.5 eV per formula unit.



# 6
Compound: Co3Br
Source: Alexandria via LeMat-Bulk
Functional: GGA-PBEsol
Structure: optimized geometry

Cell lengths 2.872, 4.113, 4.870 Å; angles 114.98, 107.15, 90.00 degrees
Each line ends with the local moment (μB).
Atoms (fractional coordinates):
Co (0.737, 0.737, 0.474)  1.53
Co (0.263, 0.263, 0.526)  1.53
Co (0.500, 0.000, 0.000)  1.41
Br (0.000, 0.500, 0.000)  0.06

Summary:
The calculation puts the magnetic moment at 4.42 μB per formula unit. The space group is Immm (71). The crystal system is orthorhombic. The calculation puts the energy above the most stable polymorph in this dataset at 0 kJ/mol of formula units. The raw formation energy comes out at 2.9 eV per formula unit.